Entry 1:
Compound: CdGeAu3
Source: Alexandria via LeMat-Bulk
Functional: PBE
Structure: relaxed

Cell: 4.917 4.917 4.917 Å, 90.00 90.00 90.00°
Positions (direct):
Cd 0.000 0.000 0.000
Ge 0.500 0.500 0.500
Au 0.000 0.500 0.500
Au 0.500 0.000 0.500
Au 0.500 0.500 0.000

Final energy (eV per atom): -2.809
Energy above the most stable polymorph in this dataset (meV/atom): 301
DFT formation energy (eV/atom): 0.2643

Entry 2:
Compound: CdGe2Au4
Source: Alexandria via LeMat-Bulk
Functional: PBE
Structure: relaxed

Cell: 6.891 6.891 9.461 Å, 90.00 90.00 141.92°
Positions (direct):
Cd 0.197 0.803 0.750
Cd 0.803 0.197 0.250
Ge 0.408 0.592 0.598
Ge 0.408 0.592 0.902
Ge 0.592 0.408 0.098
Ge 0.592 0.408 0.402
Au 0.000 0.000 0.000
Au 0.000 0.000 0.500
Au 0.214 0.786 0.092
Au 0.214 0.786 0.408
Au 0.423 0.577 0.250
Au 0.577 0.423 0.750
Au 0.786 0.214 0.592
Au 0.786 0.214 0.908

Final energy (eV per atom): -3.289
DFT formation energy (eV/atom): 0.0339

Entry 3:
Compound: Cd2GeAu2
Source: Alexandria via LeMat-Bulk
Functional: PBE
Structure: relaxed

Cell: 3.866 3.866 14.670 Å, 90.00 90.00 90.00°
Positions (direct):
Cd 0.000 0.000 0.100
Cd 0.000 0.000 0.900
Cd 0.500 0.500 0.400
Cd 0.500 0.500 0.600
Ge 0.000 0.000 0.500
Ge 0.500 0.500 0.000
Au 0.000 0.500 0.250
Au 0.000 0.500 0.750
Au 0.500 0.000 0.250
Au 0.500 0.000 0.750

Final energy (eV per atom): -2.508
Energy above the most stable polymorph in this dataset (meV/atom): 97
DFT formation energy (eV/atom): 0.0924

Entry 4:
Compound: Cd2GeAu8
Source: Alexandria via LeMat-Bulk
Functional: PBE
Structure: relaxed

Cell: 7.798 7.798 5.456 Å, 110.31 110.31 118.26°
Positions (direct):
Cd 0.197 0.803 0.000
Cd 0.803 0.197 0.000
Ge 0.500 0.500 0.500
Au 0.113 0.113 0.887
Au 0.180 0.399 0.667
Au 0.276 0.724 0.500
Au 0.399 0.180 0.667
Au 0.601 0.820 0.333
Au 0.724 0.276 0.500
Au 0.820 0.601 0.333
Au 0.887 0.887 0.113

Final energy (eV per atom): -3.011
Energy above the most stable polymorph in this dataset (meV/atom): 0
DFT formation energy (eV/atom): -0.0415

Entry 5:
Compound: Cd2GeAu
Source: Alexandria via LeMat-Bulk
Functional: PBE
Structure: relaxed

Cell: 3.108 3.108 8.465 Å, 90.00 90.00 90.00°
Positions (direct):
Cd 0.000 0.000 0.239
Cd 0.000 0.000 0.761
Ge 0.500 0.500 0.500
Au 0.500 0.500 0.000

Final energy (eV per atom): -2.400
DFT formation energy (eV/atom): 0.0308

Entry 6:
Compound: Cd3GeAu
Source: Alexandria via LeMat-Bulk
Functional: PBE
Structure: relaxed

Cell: 5.224 5.224 5.224 Å, 90.00 90.00 90.00°
Positions (direct):
Cd 0.000 0.000 0.500
Cd 0.000 0.500 0.000
Cd 0.500 0.000 0.000
Ge 0.500 0.500 0.500
Au 0.000 0.000 0.000

Final energy (eV per atom): -1.758
Energy above the most stable polymorph in this dataset (meV/atom): 0
DFT formation energy (eV/atom): 0.3704

Entry 7:
Compound: CdGeAu2
Source: Alexandria via LeMat-Bulk
Functional: PBE
Structure: relaxed

Cell: 7.693 7.693 5.612 Å, 90.00 90.00 90.00°
Positions (direct):
Cd 0.000 0.000 0.000
Cd 0.000 0.500 0.250
Cd 0.500 0.000 0.750
Cd 0.500 0.500 0.500
Ge 0.000 0.000 0.500
Ge 0.000 0.500 0.750
Ge 0.500 0.000 0.250
Ge 0.500 0.500 0.000
Au 0.222 0.250 0.625
Au 0.250 0.722 0.875
Au 0.250 0.778 0.375
Au 0.278 0.250 0.125
Au 0.722 0.750 0.125
Au 0.750 0.222 0.375
Au 0.750 0.278 0.875
Au 0.778 0.750 0.625

Final energy (eV per atom): -2.966
Energy above the most stable polymorph in this dataset (meV/atom): 124
DFT formation energy (eV/atom): 0.0560

Entry 8:
Compound: Cd2GeAu
Source: Alexandria via LeMat-Bulk
Functional: PBE
Structure: relaxed

Cell: 7.875 7.875 5.727 Å, 90.00 90.00 90.00°
Positions (direct):
Cd 0.248 0.750 0.125
Cd 0.250 0.248 0.875
Cd 0.250 0.252 0.375
Cd 0.252 0.750 0.625
Cd 0.748 0.250 0.625
Cd 0.750 0.748 0.375
Cd 0.750 0.752 0.875
Cd 0.752 0.250 0.125
Ge 0.000 0.000 0.500
Ge 0.000 0.500 0.750
Ge 0.500 0.000 0.250
Ge 0.500 0.500 0.000
Au 0.000 0.000 0.000
Au 0.000 0.500 0.250
Au 0.500 0.000 0.750
Au 0.500 0.500 0.500

Final energy (eV per atom): -2.302
DFT formation energy (eV/atom): 0.1292